w) Entry from the Alexandria database: a relaxed structure of BaCuI3 (PBE).

The space group is Pna2_1 (No. 33) and the conventional cell measures 9.174, 7.804 and 11.052 Å, with angles of 90.00, 90.00 and 90.00 degrees. The distinct sites, in fractional coordinates, are Ba at (0.122, 0.051, 0.000), Cu at (0.152, 0.604, 0.164), I at (0.029, 0.365, 0.492), I at (0.182, 0.848, 0.692) and I at (0.183, 0.852, 0.312).

***

x) Entry from the Alexandria database: a relaxed structure of BaCuI3 (PBE).

The space group is Pm-3m (No. 221) and the conventional cell measures 5.613, 5.613 and 5.613 Å, with angles of 90.00, 90.00 and 90.00 degrees. The distinct sites, in fractional coordinates, are Ba at (0.000, 0.000, 0.000), Cu at (0.500, 0.500, 0.500) and I at (0.000, 0.500, 0.500).

***

y) Entry from the Alexandria database: a relaxed structure of BaCuI3 (PBE).

The space group is Pm-3m (No. 221) and the conventional cell measures 6.712, 6.712 and 6.712 Å, with angles of 90.00, 90.00 and 90.00 degrees. The distinct sites, in fractional coordinates, are Ba at (0.000, 0.000, 0.000), Cu at (0.500, 0.500, 0.500) and I at (0.000, 0.000, 0.500).

***

Quick one: most stable of them? w)

***

w) Entry from the Alexandria database: a relaxed structure of Ba2CuIN (PBE).

The space group is P4/mmm (No. 123) and the conventional cell measures 6.228, 6.228 and 3.705 Å, with angles of 90.00, 90.00 and 90.00 degrees. The distinct sites, in fractional coordinates, are Ba at (0.000, 0.500, 0.000), Cu at (0.000, 0.000, 0.000), I at (0.500, 0.500, 0.500) and N at (0.000, 0.000, 0.500).

***

x) Entry from the Alexandria database: a relaxed structure of Ba2CuIN (PBE).

The space group is P4/mmm (No. 123) and the conventional cell measures 5.928, 5.928 and 3.865 Å, with angles of 90.00, 90.00 and 90.00 degrees. The distinct sites, in fractional coordinates, are Ba at (0.000, 0.500, 0.000), Cu at (0.000, 0.000, 0.500), I at (0.500, 0.500, 0.500) and N at (0.000, 0.000, 0.000).

***

Quick one: most stable of them? x)

***

w) Entry from the Alexandria database: a relaxed structure of BaCuTeI2 (PBE).

The space group is P4/mmm (No. 123) and the conventional cell measures 5.521, 5.521 and 5.494 Å, with angles of 90.00, 90.00 and 90.00 degrees. The distinct sites, in fractional coordinates, are Ba at (0.000, 0.000, 0.000), Cu at (0.500, 0.500, 0.500), Te at (0.500, 0.500, 0.000) and I at (0.000, 0.500, 0.500).

***

x) Entry from the Alexandria database: a relaxed structure of BaCuTeI2 (PBE).

The space group is P4/mmm (No. 123) and the conventional cell measures 6.672, 6.672 and 6.948 Å, with angles of 90.00, 90.00 and 90.00 degrees. The distinct sites, in fractional coordinates, are Ba at (0.000, 0.000, 0.000), Cu at (0.500, 0.500, 0.500), Te at (0.000, 0.000, 0.500) and I at (0.000, 0.500, 0.000).

***

Quick one: most stable of them? w)

***

w) Entry from the Alexandria database: a relaxed structure of Ba2MgInCu (PBE).

The space group is P4/mmm (No. 123) and the conventional cell measures 6.241, 6.241 and 4.957 Å, with angles of 90.00, 90.00 and 90.00 degrees. The distinct sites, in fractional coordinates, are Ba at (0.000, 0.500, 0.000), Mg at (0.000, 0.000, 0.500), In at (0.500, 0.500, 0.500) and Cu at (0.500, 0.500, 0.000).

***

x) Entry from the Alexandria database: a relaxed structure of Ba2MgInCu (PBE).

The space group is P4/mmm (No. 123) and the conventional cell measures 6.171, 6.171 and 4.981 Å, with angles of 90.00, 90.00 and 90.00 degrees. The distinct sites, in fractional coordinates, are Ba at (0.000, 0.500, 0.000), Mg at (0.000, 0.000, 0.500), In at (0.500, 0.500, 0.500) and Cu at (0.000, 0.000, 0.000).

***

Quick one: most stable of them? w)

***

w) Entry from the Alexandria database: a relaxed structure of BaTl2InCu (PBE).

The space group is P4/mmm (No. 123) and the conventional cell measures 5.370, 5.370 and 5.248 Å, with angles of 90.00, 90.00 and 90.00 degrees. The distinct sites, in fractional coordinates, are Ba at (0.000, 0.000, 0.000), Tl at (0.000, 0.500, 0.500), In at (0.500, 0.500, 0.000) and Cu at (0.500, 0.500, 0.500).

***

x) Entry from the Alexandria database: a relaxed structure of BaTl2InCu (PBE).

The space group is P4/mmm (No. 123) and the conventional cell measures 5.708, 5.708 and 6.867 Å, with angles of 90.00, 90.00 and 90.00 degrees. The distinct sites, in fractional coordinates, are Ba at (0.000, 0.000, 0.000), Tl at (0.000, 0.500, 0.500), In at (0.000, 0.000, 0.500) and Cu at (0.500, 0.500, 0.000).

***

Quick one: most stable of them? w)

***

w) Entry from the Alexandria database: a relaxed structure of BaTlIn2Cu (PBE).

The space group is P4/mmm (No. 123) and the conventional cell measures 5.669, 5.669 and 6.860 Å, with angles of 90.00, 90.00 and 90.00 degrees. The distinct sites, in fractional coordinates, are Ba at (0.000, 0.000, 0.000), Tl at (0.000, 0.000, 0.500), In at (0.000, 0.500, 0.500) and Cu at (0.500, 0.500, 0.000).

***

x) Entry from the Alexandria database: a relaxed structure of BaTlIn2Cu (PBE).

The space group is P4/mmm (No. 123) and the conventional cell measures 5.244, 5.244 and 5.392 Å, with angles of 90.00, 90.00 and 90.00 degrees. The distinct sites, in fractional coordinates, are Ba at (0.000, 0.000, 0.000), Tl at (0.500, 0.500, 0.000), In at (0.000, 0.500, 0.500) and Cu at (0.500, 0.500, 0.500).

***

Quick one: most stable of them? x)